No. 1
Fe3NiMo6N2, relaxed, DFT PBE; magnetic moment = 12.398 μB per cell; uncorrected formation energy = -0.18 eV/atom
1.0
-3.096 -0.030 -5.938
-4.654 -4.141 2.447
-3.733 5.234 1.920
Fe Mo N Ni
6 12 4 2
Direct
0.182 0.320 0.569
0.430 0.571 0.677
0.930 0.429 0.323
0.573 0.927 0.183
0.682 0.680 0.431
0.073 0.073 0.817
0.050 0.704 0.628
0.875 0.048 0.453
0.452 0.201 0.875
0.701 0.876 0.800
0.550 0.296 0.372
0.952 0.799 0.125
0.795 0.378 0.702
0.295 0.622 0.298
0.123 0.452 0.954
0.201 0.124 0.200
0.375 0.952 0.547
0.623 0.548 0.046
0.875 0.625 0.876
0.375 0.375 0.124
0.125 0.874 0.374
0.625 0.126 0.626
0.318 0.816 0.934
0.818 0.184 0.066

---

No. 2
Pm8Pt3I4Cl, relaxed, DFT PBE; magnetic moment = 0.000 μB per cell; uncorrected formation energy = -1.10 eV/atom
1.0
8.567 0.000 0.000
0.000 9.307 0.519
-4.283 -4.281 6.058
Cl Pt Pm I
1 3 8 4
Direct
0.000 0.500 0.000
0.000 0.500 0.500
0.500 0.500 0.500
0.500 0.500 0.000
0.713 0.694 0.954
0.241 0.694 0.954
0.273 0.319 0.546
0.727 0.681 0.454
0.287 0.306 0.046
0.759 0.306 0.046
0.241 0.694 0.482
0.759 0.306 0.518
0.000 0.000 0.500
0.000 0.000 0.000
0.500 0.000 0.000
0.500 0.000 0.500

---

No. 3
Mg2TlCu, relaxed, DFT PBE; magnetic moment = 0.000 μB per cell; ΔH_f (0 K) = 0.058 eV/atom
1.0
9.357 0.006 0.004
8.789 3.211 0.004
8.789 1.558 2.808
Mg Cu Tl
2 1 1
Direct
0.011 0.011 0.011
0.489 0.489 0.489
0.750 0.750 0.750
0.250 0.250 0.250

---

Question: Number 1 is which compound?
Answer: Fe3NiMo6N2

---

Question: magnetic moment of number 2 (Pm8Pt3I4Cl)?
Answer: 0.000 μB per cell